This record from Alexandria describes a relaxed structure of Y4ZnRh. The functional is PBE.

Cell: 6.0627 6.0627 6.0627 Å, 60.00 60.00 60.00°
Fractional coordinates of all 6 atoms:
1 Y 0.3759 0.3759 0.3759
2 Y 0.3759 0.3759 0.8724
3 Y 0.3759 0.8724 0.3759
4 Y 0.8724 0.3759 0.3759
5 Zn 0.0000 0.0000 0.0000
6 Rh 0.7500 0.7500 0.7500

Its formation energy is 0.579 eV per atom. The polymorph energy (0 for the lowest one) comes out at 600 kJ/mol of formula units.



This record from Alexandria describes a relaxed structure of LiNd3Pt8. The functional is PBE.

Cell: 9.4552 9.4552 9.4552 Å, 33.63 33.63 33.63°
Fractional coordinates of all 12 atoms:
1 Li 0.0000 0.0000 0.0000
2 Nd 0.3593 0.3593 0.3593
3 Nd 0.4881 0.4881 0.4881
4 Nd 0.8749 0.8749 0.8749
5 Pt 0.1777 0.1777 0.1777
6 Pt 0.4279 0.9274 0.9274
7 Pt 0.4292 0.4292 0.9254
8 Pt 0.4292 0.9254 0.4292
9 Pt 0.6773 0.6773 0.6773
10 Pt 0.9254 0.4292 0.4292
11 Pt 0.9274 0.4279 0.9274
12 Pt 0.9274 0.9274 0.4279

Its formation energy is -0.970 eV per atom.



This record from Alexandria describes a relaxed structure of TbInAgGe. The functional is PBE.

Cell: 7.0874 7.0874 7.0874 Å, 90.00 90.00 90.00°
Fractional coordinates of all 16 atoms:
1 Tb 0.0000 0.0000 0.0000
2 Tb 0.0000 0.5000 0.5000
3 Tb 0.5000 0.0000 0.5000
4 Tb 0.5000 0.5000 0.0000
5 In 0.0000 0.0000 0.5000
6 In 0.0000 0.5000 0.0000
7 In 0.5000 0.0000 0.0000
8 In 0.5000 0.5000 0.5000
9 Ag 0.2500 0.2500 0.2500
10 Ag 0.2500 0.7500 0.7500
11 Ag 0.7500 0.2500 0.7500
12 Ag 0.7500 0.7500 0.2500
13 Ge 0.2500 0.2500 0.7500
14 Ge 0.2500 0.7500 0.2500
15 Ge 0.7500 0.2500 0.2500
16 Ge 0.7500 0.7500 0.7500

Its formation energy is -0.252 eV per atom.



This record from Alexandria describes a relaxed structure of Ba2PaZnS5. The functional is PBE.

Cell: 9.3045 9.3045 12.9594 Å, 90.00 90.00 154.38°
Fractional coordinates of all 18 atoms:
1 Ba 0.1134 0.8866 0.5000
2 Ba 0.1238 0.8762 0.1332
3 Ba 0.8762 0.1238 0.6332
4 Ba 0.8866 0.1134 0.0000
5 Pa 0.2011 0.7989 0.8297
6 Pa 0.7989 0.2011 0.3297
7 Zn 0.4431 0.5569 0.2457
8 Zn 0.5569 0.4431 0.7457
9 S 0.0510 0.9490 0.8423
10 S 0.2943 0.7057 0.4695
11 S 0.3101 0.6899 0.1863
12 S 0.3469 0.6531 0.8190
13 S 0.5001 0.4999 0.0893
14 S 0.4999 0.5001 0.5893
15 S 0.6531 0.3469 0.3190
16 S 0.6899 0.3101 0.6863
17 S 0.7057 0.2943 0.9695
18 S 0.9490 0.0510 0.3423

The value obtained for the uncorrected formation energy is -1.67 eV/atom.



This record from Alexandria describes a relaxed structure of Pm2NdZn2Pb2. The functional is PBE.

Cell: 10.0026 10.0026 10.0026 Å, 27.77 27.77 27.77°
Fractional coordinates of all 7 atoms:
1 Pm 0.1321 0.1321 0.1321
2 Pm 0.8679 0.8679 0.8679
3 Nd 0.0000 0.0000 0.0000
4 Zn 0.4255 0.4255 0.4255
5 Zn 0.5745 0.5745 0.5745
6 Pb 0.2695 0.2695 0.2695
7 Pb 0.7305 0.7305 0.7305

Its formation energy is -0.232 eV per atom.



This record from Alexandria describes a relaxed structure of Li3BeV. The functional is PBE.

Cell: 4.7817 4.7817 4.7817 Å, 90.00 90.00 90.00°
Fractional coordinates of all 5 atoms:
1 Li 0.0000 0.0000 0.5000
2 Li 0.0000 0.5000 0.0000
3 Li 0.5000 0.0000 0.0000
4 Be 0.5000 0.5000 0.5000
5 V 0.0000 0.0000 0.0000

Its formation energy is 1.364 eV per atom. The polymorph energy (0 for the lowest one) comes out at 242 kJ/mol of formula units.



This record from Alexandria describes a relaxed structure of BeTl3. The functional is PBE.

Cell: 4.3072 5.2738 8.9077 Å, 90.00 90.00 90.00°
Fractional coordinates of all 8 atoms:
1 Be 0.0000 0.0000 0.0000
2 Be 0.5000 0.5000 0.0000
3 Tl 0.0000 0.0000 0.5000
4 Tl 0.0000 0.5000 0.1926
5 Tl 0.0000 0.5000 0.8074
6 Tl 0.5000 0.0000 0.1926
7 Tl 0.5000 0.0000 0.8074
8 Tl 0.5000 0.5000 0.5000

Its formation energy is 0.402 eV per atom. The polymorph energy (0 for the lowest one) comes out at 32 kJ/mol of formula units.



This record from Alexandria describes a relaxed structure of NaNd3Tc. The functional is PBE.

Cell: 5.5583 5.5583 5.5583 Å, 90.00 90.00 90.00°
Fractional coordinates of all 5 atoms:
1 Na 0.0000 0.0000 0.0000
2 Nd 0.0000 0.5000 0.5000
3 Nd 0.5000 0.0000 0.5000
4 Nd 0.5000 0.5000 0.0000
5 Tc 0.5000 0.5000 0.5000

Its formation energy is 0.201 eV per atom.